1.
# PrMgTlGa

A relaxed structure of PrMgTlGa (PBE-GGA, the Alexandria database).

```
PrMgTlGa
1.0
-3.029 -3.217 -2.779
1.892 -4.567 -1.677
-1.697 -4.462 2.112
Pr Tl Mg Ga
1 1 1 1
Direct
0.000 0.000 0.000
0.750 0.750 0.750
0.500 0.500 0.500
0.250 0.250 0.250
```

Properties
Density ... 7.25 g cm⁻³
Energy relative to the elements ... -0.290 eV per atom
DOS(E_F) ... 0.58 states/eV per atom
Space group ... F-43m (216)

***

2.
# PmLuAgHg

A relaxed structure of PmLuAgHg (PBE-GGA, the Alexandria database).

```
PmLuAgHg
1.0
-3.455 -2.657 2.875
-4.131 -2.231 -2.285
-0.275 -5.200 -0.394
Lu Hg Ag Pm
1 1 1 1
Direct
0.500 0.500 0.500
0.750 0.750 0.750
0.250 0.250 0.250
0.000 0.000 0.000
```

Properties
Density ... 10.37 g cm⁻³
Energy relative to the elements ... -0.381 eV per atom
DOS(E_F) ... 1.02 states/eV per atom
Space group ... F-43m (216)

***

3.
# IrC3

A relaxed structure of IrC3 (PBE-GGA, the Alexandria database).

```
IrC3
1.0
2.122 1.822 6.612
-1.756 -0.913 6.901
1.191 -2.393 -6.664
Ir C
2 6
Direct
0.663 0.663 0.000
0.337 0.337 0.000
0.000 0.500 0.500
0.500 0.000 0.500
0.750 0.250 0.500
0.250 0.750 0.500
0.944 0.944 0.000
0.056 0.056 0.000
```

Properties
Energy relative to the lowest polymorph listed for this composition ... 7.016 eV/f.u.
Density ... 9.90 g cm⁻³
Energy relative to the elements ... 2.471 eV per atom
DOS(E_F) ... 0.33 states/eV per atom
Space group ... I4/mmm (139)

***

4.
# Na2Ge2As

A relaxed structure of Na2Ge2As (PBE-GGA, the Alexandria database).

```
Na2Ge2As
1.0
-2.157 -6.611 -0.117
6.311 -2.095 2.037
-1.364 0.363 4.602
Na As Ge
4 2 4
Direct
0.178 0.678 0.500
0.678 0.822 0.500
0.822 0.322 0.500
0.322 0.178 0.500
0.000 0.000 0.000
0.500 0.500 0.000
0.374 0.874 0.000
0.874 0.626 0.000
0.626 0.126 0.000
0.126 0.374 0.000
```

Properties
Energy relative to the lowest polymorph listed for this composition ... 0.000 eV/f.u.
Density ... 3.80 g cm⁻³
Energy relative to the elements ... -0.055 eV per atom
DOS(E_F) ... 0.52 states/eV per atom
Space group ... P4/mbm (127)